Entry 1:
Here is a relaxed structure of Er6Co2Pt from Alexandria via LeMat-Bulk. Energies are from PBE.

Values from the calculation:
SG ... P2_1/c

a b c (Å): 6.4166 7.0179 9.8760
angles (deg): 90.00 92.21 90.00
Atoms (fractional coordinates):
Er 0.3466 0.8184 0.4230
Er 0.3310 0.5609 0.7427
Er 0.3138 0.8332 0.0825
Er 0.1862 0.3332 0.4175
Er 0.6534 0.1816 0.5770
Pt 0.0000 0.0000 0.5000
Er 0.8138 0.6668 0.5825
Er 0.1534 0.3184 0.0770
Pt 0.5000 0.5000 0.0000
Co 0.9533 0.3878 0.7588
Er 0.1690 0.0609 0.7573
Er 0.6862 0.1668 0.9175
Er 0.8310 0.9391 0.2427
Er 0.8466 0.6816 0.9230
Er 0.6690 0.4391 0.2573
Co 0.0467 0.6122 0.2412
Co 0.5467 0.8878 0.7412
Co 0.4533 0.1122 0.2588

***

Entry 2:
Here is a relaxed structure of Er12Co6Pt from Alexandria via LeMat-Bulk. Energies are from PBE.

Values from the calculation:
SG ... Im-3

a b c (Å): 8.1704 8.1704 8.1704
angles (deg): 109.47 109.47 109.47
Atoms (fractional coordinates):
Co 0.6153 0.5000 0.1153
Co 0.5000 0.8847 0.3847
Er 0.2975 0.4905 0.1930
Co 0.3847 0.5000 0.8847
Er 0.7025 0.5095 0.8070
Er 0.5095 0.8070 0.7025
Er 0.8070 0.2975 0.1045
Er 0.1930 0.7025 0.8955
Pt 0.0000 0.0000 0.0000
Er 0.8070 0.7025 0.5095
Er 0.7025 0.8955 0.1930
Er 0.1930 0.2975 0.4905
Co 0.5000 0.1153 0.6153
Er 0.1045 0.8070 0.2975
Co 0.1153 0.6153 0.5000
Co 0.8847 0.3847 0.5000
Er 0.2975 0.1045 0.8070
Er 0.4905 0.1930 0.2975
Er 0.8955 0.1930 0.7025

***

Entry 3:
Here is a relaxed structure of Er4CoPt from Alexandria via LeMat-Bulk. Energies are from PBE.

Values from the calculation:
SG ... C2/c

a b c (Å): 6.1034 7.8277 7.8277
angles (deg): 112.19 107.78 107.78
Atoms (fractional coordinates):
Er 0.4021 0.6958 0.0524
Er 0.2810 0.7690 0.6479
Er 0.7190 0.2310 0.3521
Pt 0.2500 0.3628 0.6372
Pt 0.7500 0.6372 0.3628
Er 0.5979 0.3042 0.9476
Er 0.9021 0.0524 0.6958
Er 0.0979 0.9476 0.3042
Er 0.2190 0.3521 0.2310
Co 0.2500 0.0020 0.9980
Co 0.7500 0.9980 0.0020
Er 0.7810 0.6479 0.7690

***

no.,formation enthalpy at 0 K (eV per atom)
1,-0.350
2,-0.314
3,-0.558